Entry 1:
CeHoH2: relaxed, PBE.

energy relative to the lowest polymorph listed for this composition	0	meV/atom
space-group type	R-3m, No. 166
final energy	-4.66	eV per atom
crystal system	trigonal

Cell: 3.4690 3.4690 6.1563 Å, 73.64 73.64 60.00°
Last column: magnetic moment on the atom in μB.
Element x y z (fractional)
H (0.7456, 0.7456, 0.7633)  0.00
H (0.2544, 0.2544, 0.2367)  0.00
Ho (0.0000, 0.0000, 0.0000)  0.09
Ce (0.5000, 0.5000, 0.5000)  0.56

Entry 2:
CeHoH8Ir2: relaxed, PBE.

space-group type	R-3, No. 148
final energy	-4.86	eV per atom
crystal system	trigonal

Cell: 4.8063 4.8063 6.7340 Å, 69.09 69.09 60.00°
Last column: magnetic moment on the atom in μB.
Element x y z (fractional)
Ce (0.5000, 0.5000, 0.5000)  0.44
Ho (0.0000, 0.0000, 0.0000)  0.00
H (0.1710, 0.1710, 0.4871)  0.00
H (0.5231, 0.4193, 0.1717)  0.00
H (0.8290, 0.8290, 0.5129)  0.00
H (0.8859, 0.5231, 0.1717)  0.00
H (0.1141, 0.4769, 0.8283)  0.00
H (0.4193, 0.8859, 0.1717)  0.00
H (0.5807, 0.1141, 0.8283)  0.00
H (0.4769, 0.5807, 0.8283)  0.00
Ir (0.2593, 0.2593, 0.2221)  -0.01
Ir (0.7407, 0.7407, 0.7779)  -0.01

Entry 3:
CeH2I: relaxed, PBE.

energy relative to the lowest polymorph listed for this composition	22	meV/atom
space-group type	R-3m, No. 166
final energy	-4.30	eV per atom
crystal system	trigonal

Cell: 3.9773 3.9773 5.6982 Å, 69.57 69.57 60.00°
Last column: magnetic moment on the atom in μB.
Element x y z (fractional)
I (0.5000, 0.5000, 0.5000)  -0.01
H (0.6909, 0.6909, 0.9274)  -0.01
H (0.3091, 0.3091, 0.0726)  -0.01
Ce (0.0000, 0.0000, 0.0000)  0.94